Entry from the Alexandria database: LaBeAlF2 after structural relaxation (PBE-GGA).

Results
- Space group: No. 123
- Total moment: 0.000 μB per formula unit
- Crystal system: tetragonal
- Calculated total energy: -4.637 eV/atom

Geometry as POSCAR:
```
LaBeAlF2
1.0
4.465 0.000 0.000
0.000 6.439 0.000
0.000 0.000 4.465
La F Al Be
1 2 1 1
direct
0.000 0.000 0.000 La
0.000 0.000 0.500 F
0.500 0.000 0.000 F
0.500 0.500 0.500 Al
0.000 0.500 0.000 Be
```